This record from the Alexandria database describes a relaxed structure of HRu2Br. The functional is PBE.

SG: Fm-3m
Energy above the lowest structure with this stoichiometry (meV/atom): 539
D(E_F) (states/eV per atom): 0.5218

Structure (POSCAR):
```
HRu2Br
1.0
0.0000 2.9294 2.9294
2.9294 0.0000 2.9294
2.9294 2.9294 0.0000
Ru Br H
2 1 1
direct
0.2500 0.2500 0.2500
0.7500 0.7500 0.7500
0.5000 0.5000 0.5000
0.0000 0.0000 0.0000
```